Record 1
# V2Ga2Cu (PBE, optimized geometry)
# * SG: P4/mbm (127)
# * V: 15.138 Å³/atom
# * size of the total moment: 0.00 μB per formula unit
# * ΔE to the lowest computed polymorph: 103 meV per atom
# * E_form: 0.72 eV per formula unit
data_V2Ga2Cu
_space_group_name_H-M_alt 'P 1'
_space_group_IT_number 1
_space_group_name_Hall 'P 1'
_cell_length_a 6.782
_cell_length_b 6.782
_cell_length_c 3.291
_cell_angle_alpha 90.00
_cell_angle_beta 90.00
_cell_angle_gamma 90.00
loop_
_atom_site_label
_atom_site_type_symbol
_atom_site_fract_x
_atom_site_fract_y
_atom_site_fract_z
V1 V 0.389 0.889 0.000
V2 V 0.611 0.111 0.000
V3 V 0.889 0.611 0.000
V4 V 0.111 0.389 0.000
Ga1 Ga 0.812 0.312 0.500
Ga2 Ga 0.688 0.812 0.500
Ga3 Ga 0.188 0.688 0.500
Ga4 Ga 0.312 0.188 0.500
Cu1 Cu 0.000 0.000 0.000
Cu2 Cu 0.500 0.500 0.000



Record 2
# V12Ga6Cu (PBE, optimized geometry)
# * SG: R-3 (148)
# * V: 13.989 Å³/atom
# * size of the total moment: 0.00 μB per formula unit
# * E_form: -1.19 eV per formula unit
data_V12Ga6Cu
_space_group_name_H-M_alt 'P 1'
_space_group_IT_number 1
_space_group_name_Hall 'P 1'
_cell_length_a 6.430
_cell_length_b 6.430
_cell_length_c 6.430
_cell_angle_alpha 89.17
_cell_angle_beta 89.17
_cell_angle_gamma 89.17
loop_
_atom_site_label
_atom_site_type_symbol
_atom_site_fract_x
_atom_site_fract_y
_atom_site_fract_z
V1 V 0.567 0.193 0.484
V2 V 0.433 0.807 0.516
V3 V 0.193 0.484 0.567
V4 V 0.484 0.567 0.193
V5 V 0.931 0.854 0.618
V6 V 0.807 0.516 0.433
V7 V 0.382 0.069 0.146
V8 V 0.069 0.146 0.382
V9 V 0.618 0.931 0.854
V10 V 0.516 0.433 0.807
V11 V 0.146 0.382 0.069
V12 V 0.854 0.618 0.931
Cu1 Cu 0.000 0.000 0.000
Ga1 Ga 0.877 0.255 0.730
Ga2 Ga 0.255 0.730 0.877
Ga3 Ga 0.730 0.877 0.255
Ga4 Ga 0.270 0.123 0.745
Ga5 Ga 0.745 0.270 0.123
Ga6 Ga 0.123 0.745 0.270